MgRuBr2 PBE-GGA optimized geometry; space group = R-3m, No. 166; ΔE to the lowest computed polymorph = 411 meV/atom; electronic total energy = -13.6 eV per cell; spin magnetization = 0.00 Bohr magnetons per cell; E_form (uncorrected) = 0.15 eV/atom
1.0
1.862 1.075 8.816
-1.862 1.075 8.816
0.000 -2.150 8.816
Mg Ru Br
1 1 2
direct
0.000 0.000 0.000
0.500 0.500 0.500
0.115 0.115 0.115
0.885 0.885 0.885